# 1
The following is a DFT calculation (PBE-GGA) of crystalline Li2Dy2ScCd5 at its relaxed geometry.

Cell: 10.5348 10.5348 3.9335 Å, 90.00 90.00 90.00°
With the nearest neighbours (Å) after each atom.
Atoms (fractional coordinates):
Li 0.1173 0.3827 0.0000  6 Cd 2.63-2.76
Li 0.3827 0.8827 0.0000  6 Cd 2.63-2.76
Li 0.6173 0.1173 0.0000  6 Cd 2.63-2.76
Li 0.8827 0.6173 0.0000  6 Cd 2.63-2.76
Dy 0.1802 0.6802 0.0000  3 Li 3.02-3.20, 2 Cd 3.33
Dy 0.3198 0.1802 0.0000  3 Li 3.02-3.20, 2 Cd 3.33
Dy 0.6802 0.8198 0.0000  3 Li 3.02-3.20, 2 Cd 3.33
Dy 0.8198 0.3198 0.0000  3 Li 3.02-3.20, 2 Cd 3.33
Sc 0.0000 0.0000 0.0000  8 Cd 3.01
Sc 0.5000 0.5000 0.0000  8 Cd 3.01
Cd 0.0000 0.5000 0.5000  4 Li 2.63
Cd 0.0588 0.2086 0.5000  2 Li 2.76, 2 Sc 3.01
Cd 0.2086 0.9412 0.5000  2 Li 2.76, 2 Sc 3.01
Cd 0.2914 0.4412 0.5000  2 Li 2.76, 2 Sc 3.01
Cd 0.4412 0.7086 0.5000  2 Li 2.76, 2 Sc 3.01
Cd 0.5000 0.0000 0.5000  4 Li 2.63
Cd 0.5588 0.2914 0.5000  2 Li 2.76, 2 Sc 3.01
Cd 0.7086 0.5588 0.5000  2 Li 2.76, 2 Sc 3.01
Cd 0.7914 0.0588 0.5000  2 Li 2.76, 2 Sc 3.01
Cd 0.9412 0.7914 0.5000  2 Li 2.76, 2 Sc 3.01

Computed properties:
The total magnetization is 0.0 μB/f.u. For the total energy, the calculation gives -2.652 eV/atom. The calculated volume is 21.83 Å³/atom. Its mass density is 7196 kg/m³. The calculated formation energy comes out at -2.6 eV per formula unit.

---

# 2
The following is a DFT calculation (PBE-GGA) of crystalline GaAs3Au at its relaxed geometry.

Cell: 4.8763 4.8763 4.8763 Å, 90.00 90.00 90.00°
With the nearest neighbours (Å) after each atom.
Atoms (fractional coordinates):
Ga 0.0000 0.0000 0.0000  6 As 2.44
As 0.0000 0.0000 0.5000  2 Ga 2.44
As 0.0000 0.5000 0.0000  2 Ga 2.44
As 0.5000 0.0000 0.0000  2 Ga 2.44
Au 0.5000 0.5000 0.5000  12 As 3.45

Computed properties:
The total magnetization is 0.0 μB/f.u. For the total energy, the calculation gives -3.200 eV/atom. The calculated volume is 23.19 Å³/atom. Its mass density is 7038 kg/m³. The calculated formation energy comes out at 4.3 eV per formula unit.